(1)
Computed, not measured: a relaxed structure of TlNi2AgSn at the GGA-PBE level of DFT.

Geometry as POSCAR:
```
TlNi2AgSn
1.0
4.8187 0.0000 0.0000
0.0000 5.1180 0.0000
0.0000 0.0000 4.8187
Ag Tl Ni Sn
1 1 2 1
Direct
0.0000 0.0000 0.0000
0.0000 0.5000 0.0000
0.0000 0.0000 0.5000
0.5000 0.0000 0.0000
0.5000 0.5000 0.5000
```

Results
The space group is P4/mmm (123).

---

(2)
Computed, not measured: a relaxed structure of MgZn2Au at the GGA-PBE level of DFT.

Geometry as POSCAR:
```
MgZn2Au
1.0
5.6441 -0.0364 -0.0449
-2.7286 4.9408 -0.0449
0.7869 1.3237 2.4463
Au Zn Mg
1 2 1
Direct
0.5000 0.0000 0.5000
0.0000 0.0000 0.0000
0.5000 0.5000 0.0000
0.0000 0.5000 0.5000
```

Results
The space group is C2/m (12).

---

(3)
Computed, not measured: a relaxed structure of ZrTaPb at the GGA-PBE level of DFT.

Geometry as POSCAR:
```
ZrTaPb
1.0
-0.6877 3.8012 3.8270
-4.6598 2.7324 0.6230
1.8273 -5.0902 -0.5651
Zr Ta Pb
1 1 1
Direct
0.3279 0.3279 0.0000
0.6687 0.6687 0.0000
0.0034 0.0034 0.0000
```

Results
The offset from the most stable computed form comes out at 0.0 kJ/mol of atoms. The space group is I4mm (107).

---

(4)
Computed, not measured: a relaxed structure of AsP2Pb at the GGA-PBE level of DFT.

Geometry as POSCAR:
```
AsP2Pb
1.0
-1.0197 -5.9004 -3.1834
1.1194 -6.6885 -0.0218
-2.7337 -6.1986 0.3045
P Pb As
2 1 1
Direct
0.0118 0.0118 0.0118
0.4882 0.4882 0.4882
0.2500 0.2500 0.2500
0.7500 0.7500 0.7500
```

Results
The offset from the most stable computed form comes out at 1.7 kJ/mol of atoms. The space group is R-3m (166).

---

no.,DFT formation energy (eV/atom)
1,0.97
2,-0.16
3,0.14
4,0.22